Entry from the Alexandria database: an optimized crystal structure of FeAg3Cl (PBE).

a = 4.968 Å, b = 4.968 Å, c = 4.968 Å
α = 90.00°, β = 90.00°, γ = 90.00°
Positions (direct):
Fe (0.000, 0.000, 0.000)
Ag (0.000, 0.000, 0.500)
Ag (0.000, 0.500, 0.000)
Ag (0.500, 0.000, 0.000)
Cl (0.500, 0.500, 0.500)

Symmetry: Pm-3m, No. 221
Formation energy (no corrections), eV per atom: 0.83

Entry from the Alexandria database: an optimized crystal structure of Pm5Si2Hg2 (PBE).

a = 9.016 Å, b = 9.016 Å, c = 7.777 Å
α = 90.00°, β = 90.00°, γ = 50.89°
Positions (direct):
Pm (0.000, 0.000, 0.000)
Pm (0.058, 0.688, 0.678)
Pm (0.188, 0.558, 0.178)
Pm (0.312, 0.942, 0.678)
Pm (0.442, 0.812, 0.178)
Pm (0.500, 0.500, 0.500)
Pm (0.558, 0.188, 0.822)
Pm (0.688, 0.058, 0.322)
Pm (0.812, 0.442, 0.822)
Pm (0.942, 0.312, 0.322)
Si (0.113, 0.887, 0.384)
Si (0.387, 0.613, 0.884)
Si (0.613, 0.387, 0.116)
Si (0.887, 0.113, 0.616)
Hg (0.218, 0.218, 0.000)
Hg (0.282, 0.282, 0.500)
Hg (0.718, 0.718, 0.500)
Hg (0.782, 0.782, 0.000)

Symmetry: Cmce, No. 64
Formation energy (no corrections), eV per atom: -0.57

Entry from the Alexandria database: an optimized crystal structure of CrBi (PBE).

a = 4.471 Å, b = 4.471 Å, c = 4.471 Å
α = 60.00°, β = 60.00°, γ = 60.00°
Positions (direct):
Cr (0.000, 0.000, 0.000)
Bi (0.750, 0.750, 0.750)

Symmetry: F-43m, No. 216
Formation energy from the elements, kJ per mole of atoms: 80.77

Entry from the Alexandria database: an optimized crystal structure of RbTa2Tc (PBE).

a = 4.782 Å, b = 4.782 Å, c = 4.782 Å
α = 60.00°, β = 60.00°, γ = 60.00°
Positions (direct):
Rb (0.000, 0.000, 0.000)
Ta (0.250, 0.250, 0.250)
Ta (0.750, 0.750, 0.750)
Tc (0.500, 0.500, 0.500)

Symmetry: Fm-3m, No. 225
Formation energy from the elements, kJ per mole of atoms: 147.64

Entry from the Alexandria database: an optimized crystal structure of ZrPNO2 (PBE).

a = 3.984 Å, b = 3.984 Å, c = 5.756 Å
α = 90.00°, β = 90.00°, γ = 90.00°
Positions (direct):
Zr (0.000, 0.000, 0.000)
P (0.000, 0.000, 0.500)
N (0.500, 0.500, 0.500)
O (0.000, 0.500, 0.000)
O (0.500, 0.000, 0.000)

Symmetry: P4/mmm, No. 123
Formation energy (no corrections), eV per atom: -0.14

Entry from the Alexandria database: an optimized crystal structure of Ba2NaCaPt (PBE).

a = 6.192 Å, b = 6.192 Å, c = 5.863 Å
α = 90.00°, β = 90.00°, γ = 90.00°
Positions (direct):
Ba (0.000, 0.500, 0.000)
Ba (0.500, 0.000, 0.000)
Na (0.000, 0.000, 0.500)
Ca (0.500, 0.500, 0.500)
Pt (0.000, 0.000, 0.000)

Symmetry: P4/mmm, No. 123
Formation energy from the elements, kJ per mole of atoms: -19.97

Entry from the Alexandria database: an optimized crystal structure of Dy3ScRu2 (PBE).

a = 8.182 Å, b = 8.182 Å, c = 8.182 Å
α = 132.54°, β = 71.91°, γ = 129.37°
Positions (direct):
Dy (0.019, 0.750, 0.269)
Dy (0.250, 0.250, 0.000)
Dy (0.481, 0.750, 0.731)
Dy (0.519, 0.250, 0.269)
Dy (0.750, 0.750, 0.000)
Dy (0.981, 0.250, 0.731)
Sc (0.000, 0.500, 0.500)
Sc (0.500, 0.000, 0.500)
Ru (0.132, 0.227, 0.359)
Ru (0.368, 0.727, 0.096)
Ru (0.632, 0.273, 0.904)
Ru (0.868, 0.773, 0.641)

Symmetry: Ibam, No. 72
Formation energy from the elements, kJ per mole of atoms: -23.95

Entry from the Alexandria database: an optimized crystal structure of EuSc2Os (PBE).

a = 3.268 Å, b = 3.268 Å, c = 8.976 Å
α = 90.00°, β = 90.00°, γ = 90.00°
Positions (direct):
Eu (0.000, 0.000, 0.000)
Sc (0.500, 0.500, 0.330)
Sc (0.500, 0.500, 0.670)
Os (0.000, 0.000, 0.500)

Symmetry: P4/mmm, No. 123
Formation energy from the elements, kJ per mole of atoms: -21.08

Entry from the Alexandria database: an optimized crystal structure of K3Pb7Au2 (PBE).

a = 4.911 Å, b = 5.235 Å, c = 15.631 Å
α = 90.00°, β = 98.22°, γ = 90.00°
Positions (direct):
K (0.000, 0.000, 0.000)
K (0.289, 0.000, 0.582)
K (0.711, 0.000, 0.418)
Pb (0.132, 0.000, 0.242)
Pb (0.191, 0.500, 0.382)
Pb (0.379, 0.500, 0.765)
Pb (0.500, 0.500, 0.000)
Pb (0.621, 0.500, 0.235)
Pb (0.809, 0.500, 0.618)
Pb (0.868, 0.000, 0.758)
Au (0.065, 0.500, 0.124)
Au (0.935, 0.500, 0.876)

Symmetry: P2/m, No. 10
Formation energy from the elements, kJ per mole of atoms: -3.34

Entry from the Alexandria database: an optimized crystal structure of USi2Au (PBE).

a = 4.551 Å, b = 4.551 Å, c = 4.551 Å
α = 65.42°, β = 65.42°, γ = 65.42°
Positions (direct):
U (0.000, 0.000, 0.000)
Si (0.262, 0.262, 0.262)
Si (0.738, 0.738, 0.738)
Au (0.500, 0.500, 0.500)

Symmetry: R-3m, No. 166
Formation energy (no corrections), eV per atom: 0.07

Entry from the Alexandria database: an optimized crystal structure of Sm2Tm6Sc (PBE).

a = 9.589 Å, b = 9.589 Å, c = 3.403 Å
α = 90.00°, β = 90.00°, γ = 120.00°
Positions (direct):
Sm (0.333, 0.667, 0.000)
Sm (0.667, 0.333, 0.000)
Tm (0.000, 0.329, 0.500)
Tm (0.000, 0.671, 0.500)
Tm (0.329, 0.000, 0.500)
Tm (0.329, 0.329, 0.500)
Tm (0.671, 0.000, 0.500)
Tm (0.671, 0.671, 0.500)
Sc (0.000, 0.000, 0.000)

Symmetry: P6/mmm, No. 191
Formation energy from the elements, kJ per mole of atoms: 9.74

Entry from the Alexandria database: an optimized crystal structure of KBa2Cl (PBE).

a = 5.493 Å, b = 5.493 Å, c = 6.865 Å
α = 90.00°, β = 90.00°, γ = 90.00°
Positions (direct):
K (0.000, 0.000, 0.000)
Ba (0.000, 0.500, 0.500)
Ba (0.500, 0.000, 0.500)
Cl (0.500, 0.500, 0.000)

Symmetry: P4/mmm, No. 123
Formation energy (no corrections), eV per atom: -0.39

Please write out number 12 again, unchanged.
Entry from the Alexandria database: an optimized crystal structure of KBa2Cl (PBE).

a = 5.493 Å, b = 5.493 Å, c = 6.865 Å
α = 90.00°, β = 90.00°, γ = 90.00°
Positions (direct):
K (0.000, 0.000, 0.000)
Ba (0.000, 0.500, 0.500)
Ba (0.500, 0.000, 0.500)
Cl (0.500, 0.500, 0.000)

Symmetry: P4/mmm, No. 123
Formation energy (no corrections), eV per atom: -0.39

Copy entry 10 word for word.
Entry from the Alexandria database: an optimized crystal structure of USi2Au (PBE).

a = 4.551 Å, b = 4.551 Å, c = 4.551 Å
α = 65.42°, β = 65.42°, γ = 65.42°
Positions (direct):
U (0.000, 0.000, 0.000)
Si (0.262, 0.262, 0.262)
Si (0.738, 0.738, 0.738)
Au (0.500, 0.500, 0.500)

Symmetry: R-3m, No. 166
Formation energy (no corrections), eV per atom: 0.07